1.
Below is an optimized crystal structure of Pm12Er5Th2, with properties calculated at the PBE level.

Summary:
crystal system = monoclinic
VASP energy = -4.84 eV/atom
ρ = 7.8 g/cm³

a = 15.755 Å, b = 9.385 Å, c = 8.736 Å
α = 90.00°, β = 92.02°, γ = 90.00°
Space group C2/m (No. 12)
Symmetry-distinct sites (fractional):
1 Pm 0.061 0.000 0.341 [4 per cell]
2 Pm 0.076 0.500 0.880 [4 per cell]
3 Pm 0.130 0.197 0.682 [8 per cell]
4 Pm 0.149 0.321 0.238 [8 per cell]
5 Er 0.000 0.500 0.500 [2 per cell]
6 Er 0.205 0.000 0.036 [4 per cell]
7 Er 0.232 0.500 0.567 [4 per cell]
8 Th 0.000 0.166 0.000 [4 per cell]

---

2.
Below is an optimized crystal structure of Pm12ErTh7, with properties calculated at the PBE level.

Summary:
crystal system = cubic
VASP energy = -4.79 eV/atom
ρ = 7.5 g/cm³

a = 11.584 Å, b = 11.584 Å, c = 11.584 Å
α = 90.00°, β = 90.00°, γ = 90.00°
Space group Im-3 (No. 204)
Symmetry-distinct sites (fractional):
1 Pm 0.000 0.301 0.226 [24 per cell]
2 Er 0.000 0.000 0.000 [2 per cell]
3 Th 0.000 0.000 0.500 [6 per cell]
4 Th 0.250 0.250 0.250 [8 per cell]

---

3.
Below is an optimized crystal structure of Pm12Er3Th, with properties calculated at the PBE level.

Summary:
crystal system = tetragonal
VASP energy = -4.86 eV/atom
ρ = 7.7 g/cm³

a = 5.120 Å, b = 5.120 Å, c = 20.453 Å
α = 90.00°, β = 90.00°, γ = 90.00°
Space group P4/mmm (No. 123)
Symmetry-distinct sites (fractional):
1 Pm 0.000 0.000 0.000 [1 per cell]
2 Pm 0.000 0.000 0.247 [2 per cell]
3 Pm 0.000 0.000 0.500 [1 per cell]
4 Pm 0.000 0.500 0.125 [4 per cell]
5 Pm 0.000 0.500 0.376 [4 per cell]
6 Er 0.500 0.500 0.000 [1 per cell]
7 Er 0.500 0.500 0.249 [2 per cell]
8 Th 0.500 0.500 0.500 [1 per cell]

---

Q: Among the records above, which one has the lowest ρ?
A: Pm12ErTh7

---

Q: What is the VASP energy in the first record?
A: -4.84 eV/atom